(1)
Below is a relaxed CsBa2Sr crystal, with properties calculated at the PBE level.

Unit cell a=7.269 b=7.269 c=7.269 alpha=60.00 beta=60.00 gamma=60.00
Sites, in units of the cell vectors:
1 Cs 0.000 0.000 0.000
2 Ba 0.250 0.250 0.250
3 Ba 0.750 0.750 0.750
4 Sr 0.500 0.500 0.500

ρ	3.0	g/cm³
calculated volume	67.89	Å³/atom
relative energy among the computed polymorphs	0.0657	eV/atom
formation energy	152	meV per atom
uncorrected energy	-1.44	eV/atom

---

(2)
Below is a relaxed CsBa2Sr crystal, with properties calculated at the PBE level.

Unit cell a=15.731 b=15.731 c=15.731 alpha=16.55 beta=16.55 gamma=16.55
Sites, in units of the cell vectors:
1 Cs 0.000 0.000 0.000
2 Ba 0.242 0.242 0.242
3 Ba 0.425 0.425 0.425
4 Sr 0.833 0.833 0.833

ρ	3.0	g/cm³
calculated volume	68.90	Å³/atom
relative energy among the computed polymorphs	0.0000	eV/atom
formation energy	87	meV per atom
uncorrected energy	-1.51	eV/atom

---

(3)
Below is a relaxed CsBaSrTe2 crystal, with properties calculated at the PBE level.

Unit cell a=6.660 b=6.660 c=6.691 alpha=90.00 beta=90.00 gamma=90.00
Sites, in units of the cell vectors:
1 Cs 0.000 0.000 0.000
2 Ba 0.500 0.500 0.500
3 Sr 0.500 0.500 0.000
4 Te 0.000 0.500 0.500
5 Te 0.500 0.000 0.500

ρ	3.4	g/cm³
calculated volume	59.36	Å³/atom
formation energy without anion corrections	-412	meV per atom
uncorrected energy	-2.56	eV/atom

---

(4)
Below is a relaxed CsBaSr2Tl crystal, with properties calculated at the PBE level.

Unit cell a=6.690 b=6.690 c=6.916 alpha=90.00 beta=90.00 gamma=90.00
Sites, in units of the cell vectors:
1 Cs 0.000 0.000 0.000
2 Ba 0.500 0.500 0.000
3 Sr 0.000 0.500 0.500
4 Sr 0.500 0.000 0.500
5 Tl 0.500 0.500 0.500

ρ	3.5	g/cm³
calculated volume	61.91	Å³/atom
formation energy	-49	meV per atom
uncorrected energy	-1.75	eV/atom